Below is a relaxed structure of BaCaTi, with properties calculated at the GGA-PBE level.

Cell: 3.748 9.774 6.664 Å, 70.43 106.25 101.00°
Site moments in Bohr magnetons follow the coordinates.
Fractional coordinates of all 6 atoms:
Ca 0.876 0.117 0.198  0.01
Ca 0.556 0.946 0.729  0.03
Ba 0.901 0.500 0.873  0.01
Ba 0.220 0.702 0.307  0.01
Ti 0.590 0.351 0.397  0.92
Ti 0.183 0.238 0.695  1.05

Results
- energy above the most stable polymorph in this dataset (meV per atom) = 0
- calculated formation energy (meV per atom) = 420
- VASP energy (eV per atom) = -3.5195
- calculated volume (Å³/cell) = 219.5
- symmetry = P1

---

Below is a relaxed structure of BaCa2TiV, with properties calculated at the GGA-PBE level.

Cell: 5.787 5.902 5.787 Å, 90.00 90.00 90.00°
Site moments in Bohr magnetons follow the coordinates.
Fractional coordinates of all 5 atoms:
Ca 0.000 0.000 0.500  0.13
Ca 0.500 0.000 0.000  0.09
Ti 0.000 0.000 0.000  1.66
Ba 0.000 0.500 0.000  0.08
V 0.500 0.500 0.500  0.26

Results
- calculated formation energy (meV per atom) = 1520
- VASP energy (eV per atom) = -3.0674
- calculated volume (Å³/cell) = 197.7
- symmetry = P4/mmm

---

Below is a relaxed structure of BaCaTl4, with properties calculated at the GGA-PBE level.

Cell: 3.795 9.428 5.797 Å, 90.00 90.00 90.00°
Fractional coordinates of all 6 atoms:
Ba 0.500 0.500 0.500
Ca 0.000 0.000 0.000
Tl 0.500 0.704 0.000
Tl 0.500 0.296 0.000
Tl 0.000 0.171 0.500
Tl 0.000 0.829 0.500

Results
- energy above the most stable polymorph in this dataset (meV per atom) = 125
- calculated formation energy (meV per atom) = -151
- VASP energy (eV per atom) = -2.3821
- calculated volume (Å³/cell) = 207.4
- symmetry = Pmmm

---

Below is a relaxed structure of BaCa5Tl6, with properties calculated at the GGA-PBE level.

Cell: 5.586 7.995 9.691 Å, 114.36 107.16 90.00°
Fractional coordinates of all 12 atoms:
Ca 0.337 0.838 0.675
Ca 0.670 0.671 0.341
Ca 0.000 0.500 0.000
Ca 0.330 0.329 0.659
Ca 0.663 0.162 0.325
Ba 0.000 0.000 0.000
Tl 0.172 0.439 0.345
Tl 0.172 0.906 0.345
Tl 0.500 0.276 0.000
Tl 0.500 0.724 0.000
Tl 0.828 0.094 0.655
Tl 0.828 0.561 0.655

Results
- calculated formation energy (meV per atom) = -423
- VASP energy (eV per atom) = -2.6003
- calculated volume (Å³/cell) = 373.0
- symmetry = C2/m

---

Below is a relaxed structure of BaCa3Tl, with properties calculated at the GGA-PBE level.

Cell: 6.335 6.335 6.335 Å, 90.00 90.00 90.00°
Site moments in Bohr magnetons follow the coordinates.
Fractional coordinates of all 5 atoms:
Tl 0.500 0.500 0.500  -0.02
Ca 0.000 0.500 0.000  0.18
Ca 0.000 0.000 0.500  0.28
Ca 0.500 0.000 0.000  0.10
Ba 0.000 0.000 0.000  0.62

Results
- energy above the most stable polymorph in this dataset (meV per atom) = 938
- calculated formation energy (meV per atom) = 855
- VASP energy (eV per atom) = -1.2041
- calculated volume (Å³/cell) = 254.2
- symmetry = Pm-3m

---

Below is a relaxed structure of Ba2CaTl5, with properties calculated at the GGA-PBE level.

Cell: 5.762 5.762 9.102 Å, 108.45 108.45 90.00°
Fractional coordinates of all 8 atoms:
Ba 0.740 0.740 0.479
Ba 0.260 0.260 0.521
Ca 0.000 0.000 0.000
Tl 0.500 0.500 0.000
Tl 0.893 0.393 0.786
Tl 0.393 0.893 0.786
Tl 0.107 0.607 0.214
Tl 0.607 0.107 0.214

Results
- calculated formation energy (meV per atom) = -332
- VASP energy (eV per atom) = -2.5413
- calculated volume (Å³/cell) = 270.2
- symmetry = I4/mmm

---

Below is a relaxed structure of Ba2Ca12Tl7, with properties calculated at the GGA-PBE level.

Cell: 4.272 14.164 14.164 Å, 120.00 90.00 90.00°
Fractional coordinates of all 21 atoms:
Ba 0.500 0.000 0.000
Ba 0.000 0.667 0.333
Ca 0.500 0.890 0.606
Ca 0.500 0.717 0.110
Ca 0.500 0.394 0.283
Ca 0.500 0.231 0.793
Ca 0.500 0.562 0.769
Ca 0.500 0.207 0.438
Ca 0.000 0.066 0.549
Ca 0.000 0.484 0.934
Ca 0.000 0.451 0.516
Ca 0.000 0.768 0.733
Ca 0.000 0.964 0.232
Ca 0.000 0.267 0.036
Tl 0.000 0.333 0.667
Tl 0.000 0.042 0.796
Tl 0.000 0.754 0.958
Tl 0.000 0.204 0.246
Tl 0.500 0.628 0.532
Tl 0.500 0.903 0.372
Tl 0.500 0.468 0.097

Results
- calculated formation energy (meV per atom) = -333
- VASP energy (eV per atom) = -2.4486
- calculated volume (Å³/cell) = 742.2
- symmetry = P-6

---

Below is a relaxed structure of Ba5CaTl4, with properties calculated at the GGA-PBE level.

Cell: 4.310 4.310 22.759 Å, 90.00 90.00 90.00°
Fractional coordinates of all 10 atoms:
Ba 0.500 0.500 0.129
Ba 0.500 0.500 0.312
Ba 0.500 0.500 0.500
Ba 0.500 0.500 0.688
Ba 0.500 0.500 0.871
Ca 0.000 0.000 0.000
Tl 0.000 0.000 0.217
Tl 0.000 0.000 0.405
Tl 0.000 0.000 0.595
Tl 0.000 0.000 0.783

Results
- calculated formation energy (meV per atom) = -326
- VASP energy (eV per atom) = -2.4337
- calculated volume (Å³/cell) = 422.7
- symmetry = P4/mmm

---

Below is a relaxed structure of BaCaTl6, with properties calculated at the GGA-PBE level.

Cell: 5.496 7.142 7.142 Å, 115.90 90.00 90.00°
Fractional coordinates of all 8 atoms:
Ba 0.500 0.397 0.603
Ca 0.000 0.098 0.902
Tl 0.000 0.055 0.380
Tl 0.000 0.620 0.945
Tl 0.000 0.588 0.412
Tl 0.500 0.435 0.115
Tl 0.500 0.885 0.565
Tl 0.500 0.923 0.077

Results
- energy above the most stable polymorph in this dataset (meV per atom) = 7
- calculated formation energy (meV per atom) = -239
- VASP energy (eV per atom) = -2.5045
- calculated volume (Å³/cell) = 252.2
- symmetry = Amm2

---

Below is a relaxed structure of BaCaTl, with properties calculated at the GGA-PBE level.

Cell: 5.744 5.744 4.187 Å, 90.00 90.00 120.00°
Fractional coordinates of all 3 atoms:
Tl 0.333 0.667 0.500
Ca 0.667 0.333 0.500
Ba 0.000 0.000 0.000

Results
- calculated formation energy (meV per atom) = -224
- VASP energy (eV per atom) = -2.3213
- calculated volume (Å³/cell) = 119.6
- symmetry = P-6m2

---

Below is a relaxed structure of Ba4Ca3Tl, with properties calculated at the GGA-PBE level.

Cell: 4.318 4.318 21.217 Å, 90.00 90.00 90.00°
Fractional coordinates of all 8 atoms:
Ca 0.500 0.500 0.235
Ca 0.500 0.500 0.500
Ca 0.500 0.500 0.765
Ba 0.000 0.000 0.904
Ba 0.000 0.000 0.096
Ba 0.000 0.000 0.367
Ba 0.000 0.000 0.633
Tl 0.500 0.500 0.000

Results
- calculated formation energy (meV per atom) = -78
- VASP energy (eV per atom) = -2.0858
- calculated volume (Å³/cell) = 395.7
- symmetry = P4/mmm

---

Below is a relaxed structure of Ba4CaTl5, with properties calculated at the GGA-PBE level.

Cell: 4.179 4.179 21.443 Å, 90.00 90.00 90.00°
Fractional coordinates of all 10 atoms:
Ba 0.000 0.000 0.189
Ba 0.000 0.000 0.397
Ba 0.000 0.000 0.603
Ba 0.000 0.000 0.811
Ca 0.000 0.000 0.000
Tl 0.500 0.500 0.081
Tl 0.500 0.500 0.295
Tl 0.500 0.500 0.500
Tl 0.500 0.500 0.705
Tl 0.500 0.500 0.919

Results
- calculated formation energy (meV per atom) = -406
- VASP energy (eV per atom) = -2.5585
- calculated volume (Å³/cell) = 374.6
- symmetry = P4/mmm

---

Below is a relaxed structure of BaCaTl, with properties calculated at the GGA-PBE level.

Cell: 5.568 9.145 4.773 Å, 90.05 90.00 89.99°
Fractional coordinates of all 6 atoms:
Ba 0.753 0.643 0.251
Ba 0.252 0.364 0.752
Ca 0.752 0.998 0.752
Ca 0.252 0.010 0.251
Tl 0.752 0.242 0.252
Tl 0.253 0.766 0.751

Results
- calculated formation energy (meV per atom) = -320
- VASP energy (eV per atom) = -2.4171
- calculated volume (Å³/cell) = 243.0
- symmetry = P-1

---

Below is a relaxed structure of Ba8CaTl2, with properties calculated at the GGA-PBE level.

Cell: 6.009 9.194 11.438 Å, 110.17 105.23 90.00°
Fractional coordinates of all 11 atoms:
Ba 0.603 0.484 0.207
Ba 0.322 0.037 0.644
Ba 0.190 0.300 0.381
Ba 0.039 0.760 0.077
Ba 0.810 0.700 0.619
Ba 0.678 0.963 0.356
Ba 0.397 0.516 0.793
Ba 0.961 0.240 0.923
Ca 0.500 0.000 0.000
Tl 0.187 0.692 0.375
Tl 0.813 0.308 0.625

Results
- energy above the most stable polymorph in this dataset (meV per atom) = 0
- calculated formation energy (meV per atom) = -140
- VASP energy (eV per atom) = -2.1508
- calculated volume (Å³/cell) = 569.4
- symmetry = C2/m

---

Below is a relaxed structure of Ba3Ca7Tl4, with properties calculated at the GGA-PBE level.

Cell: 5.454 10.275 10.780 Å, 73.26 75.35 74.61°
Fractional coordinates of all 14 atoms:
Ba 0.306 0.180 0.207
Ba 0.694 0.820 0.793
Ba 0.000 0.500 0.500
Ca 0.310 0.851 0.529
Ca 0.491 0.233 0.784
Ca 0.832 0.417 0.919
Ca 0.690 0.149 0.471
Ca 0.168 0.583 0.081
Ca 0.000 0.000 0.000
Ca 0.509 0.767 0.216
Tl 0.667 0.433 0.233
Tl 0.333 0.567 0.767
Tl 0.893 0.886 0.328
Tl 0.107 0.114 0.672

Results
- calculated formation energy (meV per atom) = -267
- VASP energy (eV per atom) = -2.3562
- calculated volume (Å³/cell) = 547.5
- symmetry = C2/m

---

Below is a relaxed structure of BaCa5Tl2, with properties calculated at the GGA-PBE level.

Cell: 5.351 8.248 8.248 Å, 72.85 71.07 71.07°
Fractional coordinates of all 8 atoms:
Ba 0.000 0.000 0.000
Ca 0.000 0.500 0.500
Ca 0.667 0.516 0.151
Ca 0.333 0.484 0.849
Ca 0.333 0.849 0.484
Ca 0.667 0.151 0.516
Tl 0.735 0.765 0.765
Tl 0.265 0.235 0.235

Results
- calculated formation energy (meV per atom) = -216
- VASP energy (eV per atom) = -2.2987
- calculated volume (Å³/cell) = 318.3
- symmetry = Immm

---

Below is a relaxed structure of Ba8Ca2Tl, with properties calculated at the GGA-PBE level.

Cell: 6.619 8.815 11.498 Å, 107.41 106.73 90.00°
Fractional coordinates of all 11 atoms:
Ba 0.396 0.591 0.793
Ba 0.649 0.932 0.298
Ba 0.812 0.768 0.625
Ba 0.984 0.222 0.968
Ba 0.188 0.232 0.375
Ba 0.351 0.068 0.702
Ba 0.604 0.409 0.207
Ba 0.016 0.778 0.032
Ca 0.810 0.308 0.619
Ca 0.190 0.692 0.381
Tl 0.500 0.000 0.000

Results
- calculated formation energy (meV per atom) = -17
- VASP energy (eV per atom) = -1.9945
- calculated volume (Å³/cell) = 610.3
- symmetry = C2/m

---

Below is a relaxed structure of BaCaTl, with properties calculated at the GGA-PBE level.

Cell: 7.752 7.752 4.089 Å, 74.71 74.71 30.58°
Fractional coordinates of all 3 atoms:
Tl 0.682 0.682 0.318
Ca 0.296 0.296 0.704
Ba 0.022 0.022 0.978

Results
- calculated formation energy (meV per atom) = -297
- VASP energy (eV per atom) = -2.3938
- calculated volume (Å³/cell) = 120.2
- symmetry = I4mm

---

Below is a relaxed structure of BaCa4Tl2, with properties calculated at the GGA-PBE level.

Cell: 5.755 5.755 17.536 Å, 90.00 90.00 119.97°
Fractional coordinates of all 14 atoms:
Ca 0.167 0.833 0.884
Ca 0.167 0.833 0.616
Ca 0.833 0.167 0.116
Ca 0.833 0.167 0.384
Ca 0.166 0.834 0.250
Ca 0.834 0.166 0.750
Ca 0.500 0.500 0.000
Ca 0.500 0.500 0.500
Ba 0.499 0.501 0.250
Ba 0.501 0.499 0.750
Tl 0.834 0.166 0.575
Tl 0.166 0.834 0.075
Tl 0.834 0.166 0.925
Tl 0.166 0.834 0.425

Results
- calculated formation energy (meV per atom) = -177
- VASP energy (eV per atom) = -2.2711
- calculated volume (Å³/cell) = 503.1
- symmetry = Cmcm

---

Below is a relaxed structure of BaCa2Tl9, with properties calculated at the GGA-PBE level.

Cell: 4.981 4.981 14.745 Å, 90.00 90.00 90.00°
Fractional coordinates of all 12 atoms:
Ba 0.000 0.000 0.000
Ca 0.000 0.000 0.341
Ca 0.000 0.000 0.659
Tl 0.500 0.500 0.000
Tl 0.500 0.500 0.335
Tl 0.500 0.500 0.665
Tl 0.500 0.000 0.178
Tl 0.500 0.000 0.500
Tl 0.500 0.000 0.822
Tl 0.000 0.500 0.178
Tl 0.000 0.500 0.500
Tl 0.000 0.500 0.822

Results
- calculated formation energy (meV per atom) = -238
- VASP energy (eV per atom) = -2.5060
- calculated volume (Å³/cell) = 365.8
- symmetry = P4/mmm